1.
Entry from the Alexandria database: Ta5W11 after structural relaxation (GGA-PBEsol).

Lattice parameters (Å, degrees): 6.368 6.369 6.371 90.00 90.02 90.00
Space group Pm (No. 6)
Symmetry-distinct sites (fractional):
Ta 0.000 0.000 0.000 x1
Ta 0.001 0.000 0.495 x1
Ta 0.494 0.500 0.001 x1
Ta 0.746 0.251 0.746 x2
W 0.248 0.251 0.747 x2
W 0.249 0.251 0.249 x2
W 0.495 0.000 0.000 x1
W 0.495 0.500 0.496 x1
W 0.496 0.000 0.495 x1
W 0.746 0.251 0.249 x2
W 0.999 0.500 0.000 x1
W 0.999 0.500 0.495 x1

Values from the calculation:
DOS at the Fermi energy: 6.46 states/eV/f.u.
DFT formation energy: -0.08 eV per atom
total DFT energy (no corrections): -13.498 eV/atom

---

2.
Entry from the Alexandria database: LiCdAg2 after structural relaxation (GGA-PBEsol).

Lattice parameters (Å, degrees): 5.878 7.690 3.006 90.00 90.00 90.00
Space group Cmmm (No. 65)
Symmetry-distinct sites (fractional):
Li 0.000 0.000 0.000 x2
Cd 0.000 0.500 0.000 x2
Ag 0.250 0.250 0.500 x4

Values from the calculation:
DOS at the Fermi energy: 1.11 states/eV/f.u.
DFT formation energy: -0.16 eV per atom
total DFT energy (no corrections): -2.603 eV/atom

---

3.
Entry from the Alexandria database: Ba2MgCd after structural relaxation (GGA-PBEsol).

Lattice parameters (Å, degrees): 4.053 5.999 12.073 90.00 90.00 90.00
Space group Imm2 (No. 44)
Symmetry-distinct sites (fractional):
Ba 0.000 0.000 0.000 x2
Ba 0.000 0.500 0.194 x2
Mg 0.000 0.000 0.421 x2
Cd 0.000 0.500 0.747 x2

Values from the calculation:
DOS at the Fermi energy: 4.34 states/eV/f.u.
DFT formation energy: -0.15 eV per atom
total DFT energy (no corrections): -1.952 eV/atom

---

4.
Entry from the Alexandria database: LiDy2Rh after structural relaxation (GGA-PBEsol).

Lattice parameters (Å, degrees): 6.867 6.867 6.867 90.00 90.00 90.00
Space group Fm-3m (No. 225)
Symmetry-distinct sites (fractional):
Li 0.000 0.000 0.000 x4
Dy 0.250 0.250 0.250 x8
Rh 0.000 0.000 0.500 x4

Values from the calculation:
DOS at the Fermi energy: 2.17 states/eV/f.u.
DFT formation energy: -0.46 eV per atom
total DFT energy (no corrections): -5.473 eV/atom

---

5.
Entry from the Alexandria database: RbMnO4 after structural relaxation (GGA-PBEsol).

Lattice parameters (Å, degrees): 9.539 5.600 7.582 90.00 90.00 90.00
Space group Pnma (No. 62)
Symmetry-distinct sites (fractional):
Rb 0.189 0.250 0.153 x4
Mn 0.050 0.250 0.705 x4
O 0.080 0.016 0.822 x8
O 0.112 0.750 0.355 x4
O 0.151 0.250 0.537 x4

Values from the calculation:
DOS at the Fermi energy: 0.00 states/eV/f.u.
total DFT energy (no corrections): -6.794 eV/atom
raw formation energy: -1.4971 eV/atom

---

6.
Entry from the Alexandria database: ZrAs2Se after structural relaxation (GGA-PBEsol).

Lattice parameters (Å, degrees): 3.5368 3.5368 23.2008 90.00 90.00 120.00
Space group R3m (No. 160, hexagonal axes)
Symmetry-distinct sites (fractional):
Zr 0.0000 0.0000 0.0000 x3
As 0.0000 0.0000 0.4877 x3
As 0.0000 0.0000 0.7548 x3
Se 0.0000 0.0000 0.2615 x3

Values from the calculation:
DOS at the Fermi energy: 5.06 states/eV/f.u.
total DFT energy (no corrections): -6.199 eV/atom
raw formation energy: -0.4112 eV/atom

---

7.
Entry from the Alexandria database: Tm2ReB6 after structural relaxation (GGA-PBEsol).

Lattice parameters (Å, degrees): 9.056 11.399 3.598 90.00 90.00 90.00
Space group Pbam (No. 55)
Symmetry-distinct sites (fractional):
Tm 0.057 0.130 0.000 x4
Tm 0.178 0.414 0.000 x4
Re 0.139 0.679 0.000 x4
B 0.019 0.288 0.500 x4
B 0.053 0.567 0.500 x4
B 0.099 0.972 0.500 x4
B 0.130 0.815 0.500 x4
B 0.207 0.235 0.500 x4
B 0.250 0.080 0.500 x4

Values from the calculation:
DOS at the Fermi energy: 2.42 states/eV/f.u.
DFT formation energy: -0.74 eV per atom
total DFT energy (no corrections): -7.992 eV/atom

---

8.
Entry from the Alexandria database: TiPS2I after structural relaxation (GGA-PBEsol).

Lattice parameters (Å, degrees): 4.978 4.978 4.959 90.00 90.00 90.00
Space group P4/mmm (No. 123)
Symmetry-distinct sites (fractional):
Ti 0.000 0.000 0.000 x1
P 0.500 0.500 0.000 x1
S 0.000 0.500 0.500 x2
I 0.500 0.500 0.500 x1

Values from the calculation:
DOS at the Fermi energy: 5.94 states/eV/f.u.
offset from the most stable computed form: 1.256 eV/atom
total DFT energy (no corrections): -3.806 eV/atom
raw formation energy: 1.1240 eV/atom

---

9.
Entry from the Alexandria database: La2Co3 after structural relaxation (GGA-PBEsol).

Lattice parameters (Å, degrees): 8.561 15.226 5.490 90.00 90.00 90.00
Space group Fdd2 (No. 43)
Symmetry-distinct sites (fractional):
La 0.077 0.204 0.000 x16
Co 0.000 0.000 0.254 x8
Co 0.083 0.124 0.476 x16

Values from the calculation:
DOS at the Fermi energy: 5.29 states/eV/f.u.
DFT formation energy: -0.05 eV per atom
total DFT energy (no corrections): -6.829 eV/atom

---

10.
Entry from the Alexandria database: InGe2Pb after structural relaxation (GGA-PBEsol).

Lattice parameters (Å, degrees): 7.166 7.166 7.166 90.00 90.00 90.00
Space group Fm-3m (No. 225)
Symmetry-distinct sites (fractional):
In 0.000 0.000 0.000 x4
Ge 0.250 0.250 0.250 x8
Pb 0.000 0.000 0.500 x4

Values from the calculation:
DOS at the Fermi energy: 2.19 states/eV/f.u.
DFT formation energy: 0.22 eV per atom
total DFT energy (no corrections): -3.994 eV/atom

---

11.
Entry from the Alexandria database: TlAsRh2 after structural relaxation (GGA-PBEsol).

Lattice parameters (Å, degrees): 8.456 3.267 5.286 90.00 104.17 90.00
Space group Cm (No. 8)
Symmetry-distinct sites (fractional):
Tl 0.000 0.000 0.000 x2
As 0.264 0.500 0.432 x2
Rh 0.238 0.000 0.752 x2
Rh 0.476 0.000 0.437 x2

Values from the calculation:
DOS at the Fermi energy: 2.20 states/eV/f.u.
DFT formation energy: -0.04 eV per atom
total DFT energy (no corrections): -6.044 eV/atom

---

12.
Entry from the Alexandria database: ErCr2Si2C after structural relaxation (GGA-PBEsol).

Lattice parameters (Å, degrees): 3.908 3.908 5.146 90.00 90.00 90.00
Space group P4/mmm (No. 123)
Symmetry-distinct sites (fractional):
Er 0.000 0.000 0.000 x1
Cr 0.000 0.500 0.500 x2
Si 0.500 0.500 0.229 x2
C 0.000 0.000 0.500 x1

Values from the calculation:
DOS at the Fermi energy: 4.46 states/eV/f.u.
total DFT energy (no corrections): -8.291 eV/atom
raw formation energy: -0.5334 eV/atom

---

13.
Entry from the Alexandria database: SrCrIrPd2 after structural relaxation (GGA-PBEsol).

Lattice parameters (Å, degrees): 4.717 4.717 4.483 90.00 90.00 90.00
Space group P4/mmm (No. 123)
Symmetry-distinct sites (fractional):
Sr 0.000 0.000 0.000 x1
Cr 0.500 0.500 0.500 x1
Ir 0.500 0.500 0.000 x1
Pd 0.000 0.500 0.500 x2

Values from the calculation:
DOS at the Fermi energy: 5.51 states/eV/f.u.
DFT formation energy: 0.36 eV per atom
total DFT energy (no corrections): -6.402 eV/atom

---

14.
Entry from the Alexandria database: Zn2SeBr after structural relaxation (GGA-PBEsol).

Lattice parameters (Å, degrees): 3.597 3.721 6.628 90.00 90.00 90.00
Space group Pmmm (No. 47)
Symmetry-distinct sites (fractional):
Zn 0.000 0.000 0.000 x1
Zn 0.000 0.500 0.500 x1
Se 0.500 0.000 0.500 x1
Br 0.500 0.500 0.000 x1

Values from the calculation:
DOS at the Fermi energy: 0.75 states/eV/f.u.
offset from the most stable computed form: 0.110 eV/atom
total DFT energy (no corrections): -2.335 eV/atom
raw formation energy: -0.1139 eV/atom

---

15.
Entry from the Alexandria database: Pb4Au3 after structural relaxation (GGA-PBEsol).

Lattice parameters (Å, degrees): 3.452 3.452 28.102 90.00 90.00 90.00
Space group I4/mmm (No. 139)
Symmetry-distinct sites (fractional):
Pb 0.000 0.000 0.065 x4
Pb 0.000 0.000 0.340 x4
Au 0.000 0.000 0.224 x4
Au 0.000 0.000 0.500 x2

Values from the calculation:
DOS at the Fermi energy: 3.56 states/eV/f.u.
DFT formation energy: -0.01 eV per atom
total DFT energy (no corrections): -3.979 eV/atom

---

16.
Entry from the Alexandria database: Ge3BAu after structural relaxation (GGA-PBEsol).

Lattice parameters (Å, degrees): 4.908 4.908 4.908 90.00 90.00 90.00
Space group Pm-3m (No. 221)
Symmetry-distinct sites (fractional):
Ge 0.000 0.000 0.500 x3
B 0.500 0.500 0.500 x1
Au 0.000 0.000 0.000 x1

Values from the calculation:
DOS at the Fermi energy: 3.10 states/eV/f.u.
DFT formation energy: 1.54 eV per atom
total DFT energy (no corrections): -3.612 eV/atom

---

17.
Entry from the Alexandria database: CaLaAu2 after structural relaxation (GGA-PBEsol).

Lattice parameters (Å, degrees): 7.023 7.023 7.023 90.00 90.00 90.00
Space group F-43m (No. 216)
Symmetry-distinct sites (fractional):
Ca 0.000 0.000 0.000 x4
La 0.250 0.250 0.750 x4
Au 0.000 0.000 0.500 x4
Au 0.250 0.250 0.250 x4

Values from the calculation:
DOS at the Fermi energy: 2.54 states/eV/f.u.
DFT formation energy: -0.55 eV per atom
total DFT energy (no corrections): -4.380 eV/atom

---

18.
Entry from the Alexandria database: K3YRe after structural relaxation (GGA-PBEsol).

Lattice parameters (Å, degrees): 6.913 6.913 6.913 90.00 90.00 90.00
Space group Pm-3m (No. 221)
Symmetry-distinct sites (fractional):
K 0.000 0.000 0.500 x3
Y 0.000 0.000 0.000 x1
Re 0.500 0.500 0.500 x1

Values from the calculation:
DOS at the Fermi energy: 15.84 states/eV/f.u.
DFT formation energy: 2.42 eV per atom
total DFT energy (no corrections): -2.290 eV/atom

---

19.
Entry from the Alexandria database: CoPtSeN2 after structural relaxation (GGA-PBEsol).

Lattice parameters (Å, degrees): 3.635 3.635 7.373 90.00 90.00 90.00
Space group P4/mmm (No. 123)
Symmetry-distinct sites (fractional):
Co 0.000 0.000 0.000 x1
Pt 0.500 0.500 0.500 x1
Se 0.500 0.500 0.000 x1
N 0.000 0.500 0.500 x2

Values from the calculation:
DOS at the Fermi energy: 5.45 states/eV/f.u.
total DFT energy (no corrections): -5.845 eV/atom
raw formation energy: 1.2754 eV/atom

---

20.
Entry from the Alexandria database: Cr2InRh after structural relaxation (GGA-PBEsol).

Lattice parameters (Å, degrees): 3.285 3.959 8.530 90.00 90.00 90.00
Space group Immm (No. 71)
Symmetry-distinct sites (fractional):
Cr 0.000 0.000 0.247 x4
In 0.000 0.500 0.000 x2
Rh 0.000 0.500 0.500 x2

Values from the calculation:
DOS at the Fermi energy: 3.70 states/eV/f.u.
DFT formation energy: 0.25 eV per atom
total DFT energy (no corrections): -7.651 eV/atom